This record from Alexandria via LeMat-Bulk describes crystalline CaRe2Si at its relaxed geometry. The functional is GGA-PBE.

```
CaRe2Si
1.0
-5.3821 -1.2201 0.4345
-2.0227 -1.7977 4.8292
2.5274 4.0203 -2.8450
Ca Re Si
1 2 1
Cartesian
-1.5870 0.3617 2.2995
-3.2569 0.6545 0.0953
-7.1910 -2.9307 5.1117
-3.9498 -1.6098 2.8078
```

Results
- Formation energy without anion corrections: 0.461 eV/atom
- Space-group type: Imm2



This record from Alexandria via LeMat-Bulk describes crystalline Al2SiBi at its relaxed geometry. The functional is GGA-PBE.

```
Al2SiBi
1.0
2.4899 0.2533 4.2326
1.7651 4.3163 1.5596
-2.0088 2.2111 3.9056
Si Al Bi
1 2 1
Cartesian
0.0000 0.0000 0.0000
0.5616 1.6952 2.4244
1.6847 5.0855 7.2733
1.1231 3.3903 4.8489
```

Results
- Formation energy without anion corrections: 0.431 eV/atom
- Space-group type: Fm-3m



This record from Alexandria via LeMat-Bulk describes crystalline Pr2Er3Pb at its relaxed geometry. The functional is GGA-PBE.

```
Pr2Er3Pb
1.0
-0.3056 -0.2628 4.9354
-4.7182 -1.2967 -0.3612
4.4122 -6.7476 -0.0860
Er Pr Pb
3 2 1
Cartesian
0.5260 -2.5768 2.3796
-2.5119 -0.7797 2.2871
-1.1376 -5.7303 2.1087
-1.6948 -3.0415 -0.2669
1.3887 -5.0028 -0.1803
0.0000 0.0000 0.0000
```

Results
- ΔH_f (0 K): -0.9 eV per formula unit
- Space-group type: Cmmm



This record from Alexandria via LeMat-Bulk describes crystalline Na3LaTc at its relaxed geometry. The functional is GGA-PBE.

```
Na3LaTc
1.0
-1.1330 3.9877 1.8600
-3.1289 -2.0805 2.5546
7.9723 -1.1490 12.8695
Tc Na La
2 6 2
Cartesian
1.6279 2.0473 7.7019
3.0805 1.7450 9.2348
-0.8943 0.6962 3.5123
-0.6395 -1.6715 5.9368
-1.2125 0.3454 6.8776
4.6048 0.0619 13.7718
4.4297 -1.0868 10.5782
2.8472 -2.1391 11.8702
0.0000 0.0000 0.0000
1.3562 -1.1380 8.8157
```

Results
- ΔH_f (0 K): 3.7 eV per formula unit
- Space-group type: I-4m2



This record from Alexandria via LeMat-Bulk describes crystalline CsZnAg at its relaxed geometry. The functional is GGA-PBE.

```
CsZnAg
1.0
-0.5007 -3.6982 3.0338
4.6607 -2.1201 -1.1849
4.4417 5.8524 7.5145
Zn Cs Ag
2 2 2
Cartesian
6.7816 -1.1924 6.0569
3.2612 1.4428 4.7922
4.8074 -3.0435 3.7643
5.2368 3.3025 7.0920
5.8450 0.7567 4.4306
4.2020 -0.5008 6.4289
```

Results
- ΔH_f (0 K): 0.0 eV per formula unit
- Space-group type: P1



This record from Alexandria via LeMat-Bulk describes crystalline Li2SbTe at its relaxed geometry. The functional is GGA-PBE.

```
Li2SbTe
1.0
-1.2642 0.5338 -2.6956
2.6406 -3.2145 -1.8750
-5.2610 -5.1645 1.4447
Sb Te Li
1 1 2
Cartesian
-2.0395 -2.0021 0.5601
-3.8820 -5.8268 -1.0302
-5.2145 -5.1189 1.4320
-0.6400 -2.6442 -1.9205
```

Results
- Formation energy without anion corrections: -0.399 eV/atom
- Space-group type: Pmm2



This record from Alexandria via LeMat-Bulk describes crystalline LiCd2I at its relaxed geometry. The functional is GGA-PBE.

```
LiCd2I
1.0
-2.2054 -5.2113 -0.7660
0.5515 -3.9611 4.0760
-4.5593 -1.6431 3.0202
Cd I Li
2 1 1
Cartesian
-4.6599 -8.1116 4.7476
-1.5533 -2.7039 1.5825
-3.1066 -5.4078 3.1651
0.0000 0.0000 0.0000
```

Results
- Formation energy without anion corrections: 0.066 eV/atom
- Space-group type: Fm-3m



This record from Alexandria via LeMat-Bulk describes crystalline U2Ga2Au at its relaxed geometry. The functional is GGA-PBE.

```
U2Ga2Au
1.0
4.8778 -0.0002 -0.0002
2.4391 4.8090 1.1954
0.0004 0.5520 8.8125
Ga Au U
4 2 4
Cartesian
4.8782 3.8830 6.0813
2.4391 1.4779 3.9264
4.8784 4.8184 8.7725
2.4390 0.5425 1.2351
2.4393 2.6617 6.6062
4.8781 2.6992 3.4014
4.8781 0.8082 5.9785
2.4391 3.6268 1.6181
2.4393 4.5527 4.0291
4.8783 1.7341 8.3895
```

Results
- ΔH_f (0 K): -1.0 eV per formula unit
- Space-group type: C2/m



This record from Alexandria via LeMat-Bulk describes crystalline TbCeThCd at its relaxed geometry. The functional is GGA-PBE.

```
TbCeThCd
1.0
-4.8117 -0.7312 2.4703
-0.7888 -4.3456 3.2067
-0.4175 0.6365 5.4046
Th Tb Ce Cd
1 1 1 1
Cartesian
-1.5045 -1.1101 2.7704
-3.0090 -2.2201 5.5408
0.0000 0.0000 0.0000
-4.5135 -3.3302 8.3112
```

Results
- ΔH_f (0 K): 0.4 eV per formula unit
- Space-group type: F-43m



This record from Alexandria via LeMat-Bulk describes crystalline CrCoGeMo at its relaxed geometry. The functional is GGA-PBE.

```
CrCoGeMo
1.0
-1.4714 -3.5099 1.7996
1.2884 -1.0869 3.8576
-2.6552 0.2582 3.2567
Ge Cr Co Mo
1 1 1 1
Cartesian
-0.7095 -1.0847 2.2285
-2.1286 -3.2540 6.6854
0.0000 0.0000 0.0000
-1.4190 -2.1693 4.4569
```

Results
- ΔH_f (0 K): 0.3 eV per formula unit
- Space-group type: F-43m



This record from Alexandria via LeMat-Bulk describes crystalline CoWBr at its relaxed geometry. The functional is GGA-PBE.

```
CoWBr
1.0
-0.1204 -2.3218 1.9227
-0.5002 -0.4494 -2.9410
6.0113 -1.0281 -0.8652
W Br Co
1 1 1
Cartesian
3.6624 -2.3663 -0.2612
5.9690 -1.0209 -0.8591
1.7706 -1.4403 -1.6284
```

Results
- Formation energy without anion corrections: 0.663 eV/atom
- Space-group type: P3m1



This record from Alexandria via LeMat-Bulk describes crystalline ZrTaSn2As at its relaxed geometry. The functional is GGA-PBE.

```
ZrTaSn2As
1.0
-0.6620 -2.8585 4.4671
4.5586 0.9986 1.3145
-1.6951 4.3797 2.5513
Sn As Zr Ta
2 1 1 1
Cartesian
-0.3310 -1.4292 2.2336
-0.8476 2.1899 1.2757
2.2793 0.4993 0.6573
1.1007 1.2599 4.1665
0.0000 0.0000 0.0000
```

Results
- ΔH_f (0 K): 3.2 eV per formula unit
- Space-group type: P4/mmm



This record from Alexandria via LeMat-Bulk describes crystalline Tm6CdCu2 at its relaxed geometry. The functional is GGA-PBE.

```
Tm6CdCu2
1.0
-6.5518 -2.2313 -4.7066
4.9425 -6.5127 1.7926
-2.6099 3.0365 7.3501
Tm Cd Cu
12 2 4
Cartesian
-1.3743 0.4058 6.0347
-2.9599 -5.0343 1.7206
-4.1746 -3.2241 -3.0403
-1.2592 -0.6732 2.7156
-2.0700 -3.3743 4.7749
-4.4867 -1.9615 2.3681
-5.3173 -0.7236 -0.8877
0.2675 -3.7460 2.0680
-2.8449 -6.1133 -1.5985
-0.0446 -2.4834 7.4764
1.0981 -4.9839 5.3238
-2.1492 -2.3332 -0.3388
1.1663 -1.7381 4.5714
0.0000 0.0000 0.0000
-3.2450 0.2852 0.9363
-3.6976 -0.9136 4.7836
-0.5216 -4.7938 -0.3475
-5.9166 0.5200 1.7072
```

Results
- ΔH_f (0 K): -1.8 eV per formula unit
- Space-group type: Immm



This record from Alexandria via LeMat-Bulk describes crystalline PrNd5Au4 at its relaxed geometry. The functional is GGA-PBE.

```
PrNd5Au4
1.0
3.7160 0.0000 0.0000
0.0000 3.7160 0.0000
0.0000 0.0000 20.1329
Pr Nd Au
1 5 4
Cartesian
0.0000 0.0000 0.0000
1.8580 1.8580 17.4873
1.8580 1.8580 10.0664
1.8580 1.8580 6.3309
1.8580 1.8580 2.6456
1.8580 1.8580 13.8020
0.0000 0.0000 15.6828
0.0000 0.0000 4.4501
0.0000 0.0000 11.9381
0.0000 0.0000 8.1948
```

Results
- ΔH_f (0 K): -6.1 eV per formula unit
- Space-group type: P4/mmm



This record from Alexandria via LeMat-Bulk describes crystalline Hf2Al5IrPd2 at its relaxed geometry. The functional is GGA-PBE.

```
Hf2Al5IrPd2
1.0
3.4544 0.0000 0.0000
0.0000 9.8145 0.0000
0.0000 0.0000 9.8145
Pd Hf Al Ir
4 4 10 2
Cartesian
0.0000 3.7097 1.1975
0.0000 6.1048 8.6170
0.0000 1.1975 6.1048
0.0000 8.6170 3.7097
0.0000 3.1096 8.0168
0.0000 1.7977 3.1096
0.0000 8.0168 6.7049
0.0000 6.7049 1.7977
1.7272 0.4642 7.9083
1.7272 4.9072 0.0000
1.7272 7.9083 9.3503
1.7272 6.8135 4.4430
1.7272 0.0000 4.9072
1.7272 9.3503 1.9062
1.7272 3.0010 5.3715
1.7272 4.4430 3.0010
1.7272 1.9062 0.4642
1.7272 5.3715 6.8135
0.0000 4.9072 4.9072
0.0000 0.0000 0.0000
```

Results
- ΔH_f (0 K): -6.0 eV per formula unit
- Space-group type: P4/mbm



This record from Alexandria via LeMat-Bulk describes crystalline Er3ThCd4 at its relaxed geometry. The functional is GGA-PBE.

```
Er3ThCd4
1.0
-4.0311 -3.3191 -0.3019
3.2355 -4.4227 5.4219
-5.0161 5.4178 7.4127
Er Cd Th
6 8 2
Cartesian
-3.2678 -0.3037 1.7023
0.0000 0.0000 0.0000
-4.1616 0.1910 8.1194
-5.7794 2.4023 5.4084
-2.5080 2.7089 3.7063
-1.6501 -2.5150 4.4133
-2.0594 -2.3190 7.6847
-3.7522 -0.0050 4.8479
-2.9928 3.0073 6.8519
-4.5117 -3.0173 2.8440
-1.2442 -2.7139 1.1416
-1.2999 0.6933 9.6887
0.4486 -5.0279 3.9784
-2.8189 -5.3313 5.6807
1.6177 -2.2113 2.7109
-0.8903 0.4975 6.4173
```

Results
- ΔH_f (0 K): -1.9 eV per formula unit
- Space-group type: P4/mmm



This record from Alexandria via LeMat-Bulk describes crystalline LaHgBiPt at its relaxed geometry. The functional is GGA-PBE.

```
LaHgBiPt
1.0
-2.6044 -1.0549 4.4010
-0.2500 -4.9046 1.7740
2.6081 -1.3510 4.3171
Pt La Bi Hg
1 1 1 1
Cartesian
-0.1232 -3.6552 5.2460
-0.0616 -1.8276 2.6230
-0.1848 -5.4829 7.8691
0.0000 0.0000 0.0000
```

Results
- ΔH_f (0 K): -2.4 eV per formula unit
- Space-group type: F-43m



This record from Alexandria via LeMat-Bulk describes crystalline TbThSe2N at its relaxed geometry. The functional is GGA-PBE.

```
TbThSe2N
1.0
4.0733 0.0000 0.0000
0.0000 4.0733 0.0000
0.0000 0.0000 14.6897
Th Se N Tb
2 4 2 2
Cartesian
2.0366 0.0000 8.5208
0.0000 2.0366 6.1689
0.0000 2.0366 10.2398
2.0366 0.0000 4.4499
0.0000 2.0366 1.3228
2.0366 0.0000 13.3669
2.0366 2.0366 7.3449
0.0000 0.0000 7.3449
2.0366 0.0000 1.7873
0.0000 2.0366 12.9024
```

Results
- Formation energy without anion corrections: -1.855 eV/atom
- Space-group type: P4/nmm



This record from Alexandria via LeMat-Bulk describes crystalline Li4TbAg8 at its relaxed geometry. The functional is GGA-PBE.

```
Li4TbAg8
1.0
-4.1888 1.3689 -2.7835
-4.6646 -5.3683 -0.5007
-5.0927 2.7731 4.1475
Tb Ag Li
1 8 4
Cartesian
0.0000 0.0000 0.0000
-7.0945 1.6969 1.7505
-7.8202 -1.2162 1.4099
-6.1259 -0.0101 -0.5467
-4.8135 -2.5362 1.1162
-4.9438 -0.0590 2.5305
-3.2986 -0.1728 -0.0012
-6.8516 -2.9232 -0.8873
-10.6475 -1.0535 0.8644
-2.3323 -2.6842 -0.2504
-4.6408 2.0710 0.6820
-2.5464 1.3865 2.0737
-4.4267 -1.9997 -1.6421
```

Results
- ΔH_f (0 K): -2.3 eV per formula unit
- Space-group type: I4/mmm



This record from Alexandria via LeMat-Bulk describes crystalline K2BeAl at its relaxed geometry. The functional is GGA-PBE.

```
K2BeAl
1.0
6.4303 0.0017 0.0000
3.0132 5.6806 0.0000
-4.7218 -2.8412 3.3139
K Al Be
2 1 1
Cartesian
0.0000 0.0000 0.0000
4.7218 2.8412 0.0000
1.5066 2.8403 1.6569
3.2152 0.0009 1.6569
```

Results
- ΔH_f (0 K): 3.4 eV per formula unit
- Space-group type: I4/mmm



This record from Alexandria via LeMat-Bulk describes crystalline Pr2Sc3In4 at its relaxed geometry. The functional is GGA-PBE.

```
Pr2Sc3In4
1.0
-4.8250 2.5204 3.9692
-6.0595 -2.9762 -5.4761
2.1295 -8.4411 2.2312
In Sc Pr
8 6 4
Cartesian
-2.8196 -3.4473 4.4790
-5.1600 0.4772 2.0007
-5.9354 -5.4495 -3.7547
-6.0075 -8.1139 0.7082
-2.7475 -0.7830 0.0161
-2.9849 -5.9737 0.1648
-3.5950 -9.3741 -1.2764
-5.7701 -2.9232 0.5596
-5.9079 -5.5863 -0.7757
-5.2596 -2.0503 3.4846
0.0000 0.0000 0.0000
-5.4423 -0.2279 -0.7535
-2.8471 -3.3105 1.5000
-3.4954 -6.8465 -2.7603
-3.6030 -3.3069 -2.2800
-8.0223 -3.0323 -2.1090
-5.1519 -5.5900 3.0043
-0.7327 -5.8646 2.8333
```

Results
- ΔH_f (0 K): -3.1 eV per formula unit
- Space-group type: Cmce



This record from Alexandria via LeMat-Bulk describes crystalline BPt at its relaxed geometry. The functional is GGA-PBE.

```
BPt
1.0
4.5370 0.0000 0.0000
0.0000 4.5370 0.0000
0.0000 0.0000 4.5370
Pt B
4 4
Cartesian
0.0000 2.2685 0.0000
0.0000 0.0000 2.2685
2.2685 2.2685 2.2685
2.2685 0.0000 0.0000
2.2685 0.0000 2.2685
0.0000 0.0000 0.0000
2.2685 2.2685 0.0000
0.0000 2.2685 2.2685
```

Results
- ΔH_f (0 K): 0.6 eV per formula unit
- Space-group type: Fm-3m



This record from Alexandria via LeMat-Bulk describes crystalline AcLaGa2 at its relaxed geometry. The functional is GGA-PBE.

```
AcLaGa2
1.0
4.6334 0.0000 -0.0295
0.0000 4.3127 0.0000
-2.2706 0.0000 5.9112
Ga La Ac
2 1 1
Cartesian
-1.2214 0.0000 3.4238
-1.2116 2.1563 4.9834
1.1133 0.0000 5.7697
1.0882 2.1563 2.4418
```

Results
- ΔH_f (0 K): -2.2 eV per formula unit
- Space-group type: Pm



This record from Alexandria via LeMat-Bulk describes crystalline U2Fe12B7 at its relaxed geometry. The functional is GGA-PBE.

```
U2Fe12B7
1.0
-1.6916 -0.3832 -2.5520
2.4726 -8.5806 -0.3505
-7.3445 2.3529 4.5149
Fe U B
12 2 7
Cartesian
-5.1058 -3.1812 1.9966
0.1417 -6.0825 -1.0459
-1.9673 -2.8758 -0.1296
-3.1111 -6.4248 1.1615
-3.8442 0.7521 2.4352
0.6972 -7.7157 0.6965
0.3808 -2.2011 0.0781
-5.6992 -1.9328 4.0679
-3.4774 -4.8914 3.0394
-6.0810 -0.3194 2.2133
-3.5670 -0.9489 0.6414
-2.6731 -2.6941 2.1764
-0.7998 -4.9361 1.2713
-0.8458 -0.1916 -1.2760
-3.4093 -4.2667 1.0351
-1.2686 -7.3152 0.0739
-1.4298 -1.2919 1.1417
-5.5815 1.4327 3.4845
-0.2588 -3.8012 -1.1230
-4.0722 -1.2916 2.8931
-5.2052 -4.0156 4.0532
```

Results
- ΔH_f (0 K): -5.6 eV per formula unit
- Space-group type: P-6